Here is a relaxed KMn2F8 crystal from the Alexandria database. Energies are from PBE with a Hubbard U.

abc: 4.083 6.704 7.954
angles: 126.47 89.89 92.41
Sites, in units of the cell vectors:
F 0.266 0.215 0.380
F 0.761 0.156 0.578
Mn 0.734 0.767 0.384
F 0.712 0.435 0.218
F 0.288 0.565 0.782
F 0.734 0.785 0.620
F 0.265 0.216 0.835
F 0.239 0.844 0.422
K 0.000 0.000 0.000
F 0.735 0.784 0.165
Mn 0.266 0.233 0.616

## Properties
E_tot, eV per atom: -5.14